A geometry-optimized Pr5YSb6 structure. Source: Alexandria via LeMat-Bulk, functional GGA-PBE.

Computed properties:
**Size of the total moment**: 0.00 μB/f.u.
**Formation energy from raw total energies**: -1.184 eV/atom
**Calculated volume**: 790.04 Å³/cell
**Density**: 6.406 g/cm3

Lattice parameters (Å, degrees): 7.850 13.599 7.852 90.00 109.51 90.00
Space group C2/m (No. 12)
Symmetry-distinct sites (fractional):
Pr: 0.000 0.000 0.000 x2
Pr: 0.000 0.166 0.500 x4
Pr: 0.000 0.331 0.000 x4
Y: 0.000 0.500 0.500 x2
Sb: 0.245 0.500 0.252 x4
Sb: 0.246 0.336 0.746 x8


A geometry-optimized Na3In4Pb structure. Source: Alexandria via LeMat-Bulk, functional GGA-PBE.

Computed properties:
**Size of the total moment**: 0.00 μB/f.u.
**Energy above the most stable polymorph in this dataset**: 0.068 eV per atom
**Calculated volume**: 452.30 Å³/cell
**ΔE_f**: -43 meV/atom
**Density**: 5.400 g/cm3

Lattice parameters (Å, degrees): 24.752 3.393 5.431 90.00 97.42 90.00
Space group C2/m (No. 12)
Symmetry-distinct sites (fractional):
Na: 0.000 0.000 0.000 x2
Na: 0.137 0.000 0.703 x4
In: 0.105 0.500 0.183 x4
In: 0.228 0.500 0.238 x4
Pb: 0.000 0.500 0.500 x2


A geometry-optimized BaCa2Au structure. Source: Alexandria via LeMat-Bulk, functional GGA-PBE.

Computed properties:
**Size of the total moment**: 0.00 μB/f.u.
**Energy above the most stable polymorph in this dataset**: 0.299 eV per atom
**Calculated volume**: 546.32 Å³/cell
**ΔE_f**: -135 meV/atom
**Density**: 5.039 g/cm3

Lattice parameters (Å, degrees): 8.175 8.175 8.175 90.00 90.00 90.00
Space group F-43m (No. 216)
Symmetry-distinct sites (fractional):
Ba: 0.000 0.000 0.000 x4
Ca: 0.000 0.000 0.500 x4
Ca: 0.250 0.250 0.750 x4
Au: 0.250 0.250 0.250 x4


A geometry-optimized KCa2As2 structure. Source: Alexandria via LeMat-Bulk, functional GGA-PBE.

Computed properties:
**Size of the total moment**: 0.51 μB/f.u.
**Energy above the most stable polymorph in this dataset**: 0.118 eV per atom
**Calculated volume**: 315.25 Å³/cell
**ΔE_f**: -714 meV/atom
**Density**: 2.835 g/cm3

Lattice parameters (Å, degrees): 5.099 5.099 12.124 90.00 90.00 90.00
Space group I4/mmm (No. 139)
Symmetry-distinct sites (fractional):
K: 0.000 0.000 0.000 x2
Ca: 0.000 0.500 0.250 x4
As: 0.000 0.000 0.377 x4


A geometry-optimized NaTlCdPt structure. Source: Alexandria via LeMat-Bulk, functional GGA-PBE.

Computed properties:
**Size of the total moment**: 0.00 μB/f.u.
**Calculated volume**: 327.67 Å³/cell
**ΔE_f**: -181 meV/atom
**Density**: 10.842 g/cm3

Lattice parameters (Å, degrees): 6.894 6.894 6.894 90.00 90.00 90.00
Space group F-43m (No. 216)
Symmetry-distinct sites (fractional):
Na: 0.000 0.000 0.000 x4
Tl: 0.250 0.250 0.750 x4
Cd: 0.250 0.250 0.250 x4
Pt: 0.000 0.000 0.500 x4


A geometry-optimized Ni2RuBr structure. Source: Alexandria via LeMat-Bulk, functional GGA-PBE.

Computed properties:
**Size of the total moment**: 2.86 μB/f.u.
**Energy above the most stable polymorph in this dataset**: 0.261 eV per atom
**Formation energy from raw total energies**: 0.746 eV/atom
**Calculated volume**: 237.20 Å³/cell
**Density**: 8.355 g/cm3

Lattice parameters (Å, degrees): 6.805 6.805 5.122 90.00 90.00 90.00
Space group I-42d (No. 122)
Symmetry-distinct sites (fractional):
Ni: 0.242 0.750 0.125 x8
Ru: 0.000 0.000 0.500 x4
Br: 0.000 0.000 0.000 x4


A geometry-optimized YAlCu2P structure. Source: Alexandria via LeMat-Bulk, functional GGA-PBE.

Computed properties:
**Size of the total moment**: 0.00 μB/f.u.
**Calculated volume**: 141.32 Å³/cell
**ΔE_f**: 984 meV/atom
**Density**: 3.219 g/cm3

Lattice parameters (Å, degrees): 5.228 5.228 5.170 90.00 90.00 90.00
Space group P4/mmm (No. 123)
Symmetry-distinct sites (fractional):
Y: 0.000 0.000 0.000 x1
Al: 0.500 0.500 0.500 x1
Cu: 0.000 0.500 0.000 x2
P: 0.000 0.000 0.500 x1


A geometry-optimized ZrFe4Pt structure. Source: Alexandria via LeMat-Bulk, functional GGA-PBE.

Computed properties:
**Size of the total moment**: 8.47 μB/f.u.
**Calculated volume**: 327.38 Å³/cell
**ΔE_f**: -305 meV/atom
**Density**: 10.341 g/cm3

Lattice parameters (Å, degrees): 6.892 6.892 6.892 90.00 90.00 90.00
Space group F-43m (No. 216)
Symmetry-distinct sites (fractional):
Zr: 0.000 0.000 0.000 x4
Fe: 0.126 0.126 0.374 x16
Pt: 0.250 0.250 0.750 x4